(1)
# Sn2BiAu2

A relaxed structure of Sn2BiAu2 (PBE-GGA, Alexandria).

a b c (Å): 8.0469 8.0469 3.7702
angles (deg): 90.00 90.00 90.00
Sites, in units of the cell vectors:
Sn 0.1617 0.3383 0.0000
Sn 0.3383 0.8383 0.0000
Sn 0.6617 0.1617 0.0000
Sn 0.8383 0.6617 0.0000
Bi 0.0000 0.0000 0.5000
Bi 0.5000 0.5000 0.5000
Au 0.1339 0.6339 0.5000
Au 0.3661 0.1339 0.5000
Au 0.6339 0.8661 0.5000
Au 0.8661 0.3661 0.5000

Output
**DFT formation energy**: -63 meV per atom
**Theoretical density**: 11.4 g/cm3
**V**: 24.41 Å³ per atom
**E**: -0.2757 Ry per atom
**Energy relative to the lowest polymorph listed for this composition**: 0 meV per atom

=====

(2)
# Sn3BiAu2

A relaxed structure of Sn3BiAu2 (PBE-GGA, Alexandria).

a b c (Å): 4.4145 6.3300 6.3300
angles (deg): 86.43 90.00 90.00
Sites, in units of the cell vectors:
Sn 0.0000 0.0000 0.0000
Sn 0.5000 0.0348 0.4355
Sn 0.5000 0.4355 0.0348
Bi 0.0000 0.6048 0.6048
Au 0.0000 0.3005 0.3005
Au 0.5000 0.8282 0.8282

Output
**DFT formation energy**: 64 meV per atom
**Theoretical density**: 9.0 g/cm3
**V**: 29.42 Å³ per atom
**E**: -0.2702 Ry per atom

=====

(3)
# Sn2Bi2Au

A relaxed structure of Sn2Bi2Au (PBE-GGA, Alexandria).

a b c (Å): 9.0627 9.0627 9.0627
angles (deg): 153.66 153.66 37.60
Sites, in units of the cell vectors:
Sn 0.2500 0.7500 0.5000
Sn 0.7500 0.2500 0.5000
Bi 0.0891 0.0891 0.0000
Bi 0.9109 0.9109 0.0000
Au 0.5000 0.5000 0.0000

Output
**DFT formation energy**: 218 meV per atom
**Theoretical density**: 9.7 g/cm3
**V**: 29.27 Å³ per atom
**E**: -0.2639 Ry per atom
**Energy relative to the lowest polymorph listed for this composition**: 174 meV per atom

=====

(4)
# Sn4BiAu2

A relaxed structure of Sn4BiAu2 (PBE-GGA, Alexandria).

a b c (Å): 7.8308 7.8308 7.8308
angles (deg): 109.34 109.34 109.72
Sites, in units of the cell vectors:
Sn 0.0353 0.4334 0.2692
Sn 0.1642 0.7661 0.7308
Sn 0.1834 0.2853 0.7692
Sn 0.2339 0.9647 0.3980
Sn 0.5161 0.4142 0.2308
Sn 0.5666 0.8358 0.6020
Sn 0.5858 0.8166 0.1020
Sn 0.7147 0.4839 0.8980
Bi 0.0000 0.0000 0.0000
Bi 0.7500 0.2500 0.5000
Au 0.1626 0.6250 0.0376
Au 0.3750 0.4126 0.5376
Au 0.5874 0.1250 0.9624
Au 0.8750 0.8374 0.4624

Output
**DFT formation energy**: -18 meV per atom
**Theoretical density**: 9.7 g/cm3
**V**: 26.40 Å³ per atom
**E**: -0.2790 Ry per atom
**Energy relative to the lowest polymorph listed for this composition**: 0 meV per atom

=====

(5)
# Sn3BiAu

A relaxed structure of Sn3BiAu (PBE-GGA, Alexandria).

a b c (Å): 5.4084 5.4084 5.4084
angles (deg): 90.00 90.00 90.00
Sites, in units of the cell vectors:
Sn 0.0000 0.0000 0.5000
Sn 0.0000 0.5000 0.0000
Sn 0.5000 0.0000 0.0000
Bi 0.5000 0.5000 0.5000
Au 0.0000 0.0000 0.0000

Output
**DFT formation energy**: 247 meV per atom
**Theoretical density**: 8.0 g/cm3
**V**: 31.64 Å³ per atom
**E**: -0.2636 Ry per atom
**Energy relative to the lowest polymorph listed for this composition**: 182 meV per atom

=====

(6)
# Sn4BiAu2

A relaxed structure of Sn4BiAu2 (PBE-GGA, Alexandria).

a b c (Å): 8.2167 8.2167 8.2167
angles (deg): 138.83 138.83 59.64
Sites, in units of the cell vectors:
Sn 0.0000 0.5000 0.5000
Sn 0.2220 0.2220 0.0000
Sn 0.5000 0.0000 0.5000
Sn 0.7780 0.7780 0.0000
Bi 0.0000 0.0000 0.0000
Au 0.4053 0.4053 0.0000
Au 0.5947 0.5947 0.0000

Output
**DFT formation energy**: 409 meV per atom
**Theoretical density**: 7.5 g/cm3
**V**: 34.00 Å³ per atom
**E**: -0.2476 Ry per atom
**Energy relative to the lowest polymorph listed for this composition**: 426 meV per atom

=====

(7)
# Sn2Bi2Au

A relaxed structure of Sn2Bi2Au (PBE-GGA, Alexandria).

a b c (Å): 7.0371 7.0371 6.0553
angles (deg): 90.00 90.00 90.00
Sites, in units of the cell vectors:
Sn 0.1448 0.3552 0.0000
Sn 0.3552 0.8552 0.0000
Sn 0.6448 0.1448 0.0000
Sn 0.8552 0.6448 0.0000
Bi 0.2382 0.2618 0.5000
Bi 0.2618 0.7618 0.5000
Bi 0.7382 0.2382 0.5000
Bi 0.7618 0.7382 0.5000
Au 0.0000 0.0000 0.0000
Au 0.5000 0.5000 0.0000

Output
**DFT formation energy**: 44 meV per atom
**Theoretical density**: 9.4 g/cm3
**V**: 29.99 Å³ per atom
**E**: -0.2767 Ry per atom
**Energy relative to the lowest polymorph listed for this composition**: 0 meV per atom

=====

(8)
# Sn3BiAu3

A relaxed structure of Sn3BiAu3 (PBE-GGA, Alexandria).

a b c (Å): 7.6366 7.6366 7.6366
angles (deg): 90.00 90.00 90.00
Sites, in units of the cell vectors:
Sn 0.0000 0.2500 0.5000
Sn 0.0000 0.7500 0.5000
Sn 0.2500 0.5000 0.0000
Sn 0.5000 0.0000 0.2500
Sn 0.5000 0.0000 0.7500
Sn 0.7500 0.5000 0.0000
Bi 0.0000 0.0000 0.0000
Bi 0.5000 0.5000 0.5000
Au 0.0000 0.5000 0.2500
Au 0.0000 0.5000 0.7500
Au 0.2500 0.0000 0.5000
Au 0.5000 0.2500 0.0000
Au 0.5000 0.7500 0.0000
Au 0.7500 0.0000 0.5000

Output
**DFT formation energy**: 240 meV per atom
**Theoretical density**: 8.6 g/cm3
**V**: 31.81 Å³ per atom
**E**: -0.2524 Ry per atom
**Energy relative to the lowest polymorph listed for this composition**: 322 meV per atom

=====

(9)
# Sn2Bi2Au

A relaxed structure of Sn2Bi2Au (PBE-GGA, Alexandria).

a b c (Å): 7.7727 7.7727 4.9960
angles (deg): 90.00 90.00 90.00
Sites, in units of the cell vectors:
Sn 0.1448 0.3552 0.0000
Sn 0.3552 0.8552 0.0000
Sn 0.6448 0.1448 0.0000
Sn 0.8552 0.6448 0.0000
Bi 0.1633 0.6633 0.5000
Bi 0.3367 0.1633 0.5000
Bi 0.6633 0.8367 0.5000
Bi 0.8367 0.3367 0.5000
Au 0.0000 0.0000 0.5000
Au 0.5000 0.5000 0.5000

Output
**DFT formation energy**: 160 meV per atom
**Theoretical density**: 9.4 g/cm3
**V**: 30.18 Å³ per atom
**E**: -0.2682 Ry per atom
**Energy relative to the lowest polymorph listed for this composition**: 115 meV per atom

=====

(10)
# Sn3BiAu3

A relaxed structure of Sn3BiAu3 (PBE-GGA, Alexandria).

a b c (Å): 7.8708 7.8708 7.8708
angles (deg): 64.47 64.47 64.47
Sites, in units of the cell vectors:
Sn 0.1037 0.4044 0.7910
Sn 0.2090 0.8963 0.5956
Sn 0.4044 0.7910 0.1037
Sn 0.5956 0.2090 0.8963
Sn 0.7910 0.1037 0.4044
Sn 0.8963 0.5956 0.2090
Bi 0.3344 0.3344 0.3344
Bi 0.6656 0.6656 0.6656
Au 0.0758 0.7309 0.4334
Au 0.2691 0.5666 0.9242
Au 0.4334 0.0758 0.7309
Au 0.5666 0.9242 0.2691
Au 0.7309 0.4334 0.0758
Au 0.9242 0.2691 0.5666

Output
**DFT formation energy**: -82 meV per atom
**Theoretical density**: 10.1 g/cm3
**V**: 27.04 Å³ per atom
**E**: -0.2761 Ry per atom
**Energy relative to the lowest polymorph listed for this composition**: 0 meV per atom

=====

(11)
# SnBiAu6

A relaxed structure of SnBiAu6 (PBE-GGA, Alexandria).

a b c (Å): 5.5015 5.5015 5.5015
angles (deg): 90.00 90.00 90.00
Sites, in units of the cell vectors:
Sn 0.0000 0.0000 0.0000
Bi 0.5000 0.5000 0.5000
Au 0.0000 0.5000 0.2479
Au 0.0000 0.5000 0.7521
Au 0.2479 0.0000 0.5000
Au 0.5000 0.2479 0.0000
Au 0.5000 0.7521 0.0000
Au 0.7521 0.0000 0.5000

Output
**DFT formation energy**: 44 meV per atom
**Theoretical density**: 15.1 g/cm3
**V**: 20.81 Å³ per atom
**E**: -0.2498 Ry per atom
**Energy relative to the lowest polymorph listed for this composition**: 74 meV per atom

=====

(12)
# Sn3Bi5Au12

A relaxed structure of Sn3Bi5Au12 (PBE-GGA, Alexandria).

a b c (Å): 14.2146 14.2146 14.2146
angles (deg): 109.47 109.47 109.47
Sites, in units of the cell vectors:
Sn 0.1250 0.2500 0.3750
Sn 0.1250 0.3750 0.7500
Sn 0.2500 0.3750 0.1250
Sn 0.2500 0.8750 0.6250
Sn 0.3750 0.1250 0.2500
Sn 0.3750 0.7500 0.1250
Sn 0.6250 0.2500 0.8750
Sn 0.6250 0.8750 0.7500
Sn 0.7500 0.1250 0.3750
Sn 0.7500 0.6250 0.8750
Sn 0.8750 0.6250 0.2500
Sn 0.8750 0.7500 0.6250
Bi 0.0000 0.0000 0.0000
Bi 0.0000 0.0000 0.5000
Bi 0.0000 0.5000 0.0000
Bi 0.0000 0.5000 0.5000
Bi 0.1250 0.7500 0.8750
Bi 0.1250 0.8750 0.2500
Bi 0.2500 0.1250 0.8750
Bi 0.2500 0.6250 0.3750
Bi 0.3750 0.2500 0.6250
Bi 0.3750 0.6250 0.7500
Bi 0.5000 0.0000 0.0000
Bi 0.5000 0.0000 0.5000
Bi 0.5000 0.5000 0.0000
Bi 0.5000 0.5000 0.5000
Bi 0.6250 0.3750 0.2500
Bi 0.6250 0.7500 0.3750
Bi 0.7500 0.3750 0.6250
Bi 0.7500 0.8750 0.1250
Bi 0.8750 0.1250 0.7500
Bi 0.8750 0.2500 0.1250
Au 0.0714 0.2347 0.1468
Au 0.0714 0.3366 0.9246
Au 0.0754 0.6468 0.4121
Au 0.0754 0.9286 0.6634
Au 0.0879 0.7347 0.6634
Au 0.0879 0.8532 0.4246
Au 0.1468 0.0714 0.2347
Au 0.1468 0.5754 0.9121
Au 0.1634 0.2347 0.5879
Au 0.1634 0.4286 0.5754
Au 0.2347 0.1468 0.0714
Au 0.2347 0.5879 0.1634
Au 0.2653 0.3366 0.9121
Au 0.2653 0.4286 0.3532
Au 0.3366 0.9121 0.2653
Au 0.3366 0.9246 0.0714
Au 0.3532 0.2653 0.4286
Au 0.3532 0.5879 0.9246
Au 0.4121 0.0754 0.6468
Au 0.4121 0.8366 0.7653
Au 0.4246 0.0879 0.8532
Au 0.4246 0.8366 0.5714
Au 0.4286 0.3532 0.2653
Au 0.4286 0.5754 0.1634
Au 0.5714 0.4246 0.8366
Au 0.5714 0.6468 0.7347
Au 0.5754 0.1634 0.4286
Au 0.5754 0.9121 0.1468
Au 0.5879 0.1634 0.2347
Au 0.5879 0.9246 0.3532
Au 0.6468 0.4121 0.0754
Au 0.6468 0.7347 0.5714
Au 0.6634 0.0754 0.9286
Au 0.6634 0.0879 0.7347
Au 0.7347 0.5714 0.6468
Au 0.7347 0.6634 0.0879
Au 0.7653 0.4121 0.8366
Au 0.7653 0.8532 0.9286
Au 0.8366 0.5714 0.4246
Au 0.8366 0.7653 0.4121
Au 0.8532 0.4246 0.0879
Au 0.8532 0.9286 0.7653
Au 0.9121 0.1468 0.5754
Au 0.9121 0.2653 0.3366
Au 0.9246 0.0714 0.3366
Au 0.9246 0.3532 0.5879
Au 0.9286 0.6634 0.0754
Au 0.9286 0.7653 0.8532

Output
**DFT formation energy**: 101 meV per atom
**Theoretical density**: 11.3 g/cm3
**V**: 27.64 Å³ per atom
**E**: -0.2525 Ry per atom

=====

(13)
# Sn2BiAu6

A relaxed structure of Sn2BiAu6 (PBE-GGA, Alexandria).

a b c (Å): 7.6201 7.6201 7.7361
angles (deg): 107.00 107.00 78.53
Sites, in units of the cell vectors:
Sn 0.1953 0.2727 0.3049
Sn 0.2727 0.1953 0.8049
Sn 0.7273 0.8047 0.1951
Sn 0.8047 0.7273 0.6951
Bi 0.3844 0.6156 0.2500
Bi 0.6156 0.3844 0.7500
Au 0.0144 0.8287 0.0589
Au 0.0691 0.6463 0.4551
Au 0.1713 0.9856 0.4411
Au 0.2361 0.5700 0.8289
Au 0.3537 0.9309 0.0449
Au 0.4300 0.7639 0.6711
Au 0.5700 0.2361 0.3289
Au 0.6463 0.0691 0.9551
Au 0.7639 0.4300 0.1711
Au 0.8287 0.0144 0.5589
Au 0.9309 0.3537 0.5449
Au 0.9856 0.1713 0.9411

Output
**DFT formation energy**: -40 meV per atom
**Theoretical density**: 13.3 g/cm3
**V**: 22.65 Å³ per atom
**E**: -0.2606 Ry per atom

=====

(14)
# Sn3BiAu

A relaxed structure of Sn3BiAu (PBE-GGA, Alexandria).

a b c (Å): 3.4000 5.5759 7.7840
angles (deg): 90.00 90.00 90.00
Sites, in units of the cell vectors:
Sn 0.0000 0.0000 0.0000
Sn 0.5000 0.5000 0.2882
Sn 0.5000 0.5000 0.7118
Bi 0.5000 0.0000 0.5000
Au 0.0000 0.5000 0.0000

Output
**DFT formation energy**: 66 meV per atom
**Theoretical density**: 8.6 g/cm3
**V**: 29.51 Å³ per atom
**E**: -0.2769 Ry per atom
**Energy relative to the lowest polymorph listed for this composition**: 0 meV per atom

=====

(15)
# Sn2BiAu2

A relaxed structure of Sn2BiAu2 (PBE-GGA, Alexandria).

a b c (Å): 4.6951 4.6951 6.2290
angles (deg): 105.50 105.50 84.12
Sites, in units of the cell vectors:
Sn 0.2465 0.7535 0.0000
Sn 0.7535 0.2465 0.0000
Bi 0.5000 0.5000 0.5000
Au 0.1636 0.1636 0.7052
Au 0.8364 0.8364 0.2948

Output
**DFT formation energy**: -10 meV per atom
**Theoretical density**: 10.9 g/cm3
**V**: 25.49 Å³ per atom
**E**: -0.2718 Ry per atom
**Energy relative to the lowest polymorph listed for this composition**: 53 meV per atom

=====

(16)
# Sn12Bi5Au3

A relaxed structure of Sn12Bi5Au3 (PBE-GGA, Alexandria).

a b c (Å): 15.1613 15.1613 15.1613
angles (deg): 109.47 109.47 109.47
Sites, in units of the cell vectors:
Sn 0.0569 0.6347 0.3884
Sn 0.0569 0.9221 0.6685
Sn 0.0779 0.2464 0.1347
Sn 0.0779 0.3315 0.9431
Sn 0.1116 0.7464 0.6685
Sn 0.1116 0.8653 0.4431
Sn 0.1347 0.0779 0.2464
Sn 0.1347 0.5569 0.8884
Sn 0.1685 0.2464 0.6116
Sn 0.1685 0.4221 0.5569
Sn 0.2464 0.1347 0.0779
Sn 0.2464 0.6116 0.1685
Sn 0.2536 0.3315 0.8884
Sn 0.2536 0.4221 0.3653
Sn 0.3315 0.8884 0.2536
Sn 0.3315 0.9431 0.0779
Sn 0.3653 0.2536 0.4221
Sn 0.3653 0.6116 0.9431
Sn 0.3884 0.0569 0.6347
Sn 0.3884 0.8315 0.7536
Sn 0.4221 0.3653 0.2536
Sn 0.4221 0.5569 0.1685
Sn 0.4431 0.1116 0.8653
Sn 0.4431 0.8315 0.5779
Sn 0.5569 0.1685 0.4221
Sn 0.5569 0.8884 0.1347
Sn 0.5779 0.4431 0.8315
Sn 0.5779 0.6347 0.7464
Sn 0.6116 0.1685 0.2464
Sn 0.6116 0.9431 0.3653
Sn 0.6347 0.3884 0.0569
Sn 0.6347 0.7464 0.5779
Sn 0.6685 0.0569 0.9221
Sn 0.6685 0.1116 0.7464
Sn 0.7464 0.5779 0.6347
Sn 0.7464 0.6685 0.1116
Sn 0.7536 0.3884 0.8315
Sn 0.7536 0.8653 0.9221
Sn 0.8315 0.5779 0.4431
Sn 0.8315 0.7536 0.3884
Sn 0.8653 0.4431 0.1116
Sn 0.8653 0.9221 0.7536
Sn 0.8884 0.1347 0.5569
Sn 0.8884 0.2536 0.3315
Sn 0.9221 0.6685 0.0569
Sn 0.9221 0.7536 0.8653
Sn 0.9431 0.0779 0.3315
Sn 0.9431 0.3653 0.6116
Bi 0.0000 0.0000 0.0000
Bi 0.0000 0.0000 0.5000
Bi 0.0000 0.5000 0.0000
Bi 0.0000 0.5000 0.5000
Bi 0.1250 0.7500 0.8750
Bi 0.1250 0.8750 0.2500
Bi 0.2500 0.1250 0.8750
Bi 0.2500 0.6250 0.3750
Bi 0.3750 0.2500 0.6250
Bi 0.3750 0.6250 0.7500
Bi 0.5000 0.0000 0.0000
Bi 0.5000 0.0000 0.5000
Bi 0.5000 0.5000 0.0000
Bi 0.5000 0.5000 0.5000
Bi 0.6250 0.3750 0.2500
Bi 0.6250 0.7500 0.3750
Bi 0.7500 0.3750 0.6250
Bi 0.7500 0.8750 0.1250
Bi 0.8750 0.1250 0.7500
Bi 0.8750 0.2500 0.1250
Au 0.1250 0.2500 0.3750
Au 0.1250 0.3750 0.7500
Au 0.2500 0.3750 0.1250
Au 0.2500 0.8750 0.6250
Au 0.3750 0.1250 0.2500
Au 0.3750 0.7500 0.1250
Au 0.6250 0.2500 0.8750
Au 0.6250 0.8750 0.7500
Au 0.7500 0.1250 0.3750
Au 0.7500 0.6250 0.8750
Au 0.8750 0.6250 0.2500
Au 0.8750 0.7500 0.6250

Output
**DFT formation energy**: 103 meV per atom
**Theoretical density**: 7.6 g/cm3
**V**: 33.53 Å³ per atom
**E**: -0.2764 Ry per atom

=====

(17)
# Sn2BiAu2

A relaxed structure of Sn2BiAu2 (PBE-GGA, Alexandria).

a b c (Å): 7.0992 7.0992 7.0992
angles (deg): 143.40 143.40 52.73
Sites, in units of the cell vectors:
Sn 0.2500 0.7500 0.5000
Sn 0.7500 0.2500 0.5000
Bi 0.0000 0.0000 0.0000
Au 0.3942 0.3942 0.0000
Au 0.6058 0.6058 0.0000

Output
**DFT formation energy**: 4 meV per atom
**Theoretical density**: 11.0 g/cm3
**V**: 25.29 Å³ per atom
**E**: -0.2708 Ry per atom
**Energy relative to the lowest polymorph listed for this composition**: 67 meV per atom